[1]
# LiTl16Cd12, relaxed, DFT GGA-PBE
data_LiTl16Cd12
_cell_length_a 10.0899
_cell_length_b 10.0899
_cell_length_c 10.0451
_cell_angle_alpha 109.21
_cell_angle_beta 109.21
_cell_angle_gamma 109.16
_symmetry_space_group_name_H-M 'P 1'
_symmetry_Int_Tables_number 1
_symmetry_space_group_name_Hall 'P 1'
loop_
_atom_site_label
_atom_site_type_symbol
_atom_site_fract_x
_atom_site_fract_y
_atom_site_fract_z
_atom_site_occupancy
Li1 Li 0.0000 0.0000 0.0000 1
Tl1 Tl 0.0006 0.3938 0.6037 1
Tl2 Tl 0.0331 0.0331 0.6234 1
Tl3 Tl 0.0814 0.6841 0.9663 1
Tl4 Tl 0.0851 0.3466 0.2804 1
Tl5 Tl 0.2751 0.9726 0.8873 1
Tl6 Tl 0.3011 0.3011 0.5880 1
Tl7 Tl 0.3248 0.6808 0.2892 1
Tl8 Tl 0.3466 0.0851 0.2804 1
Tl9 Tl 0.3613 0.6852 0.6839 1
Tl10 Tl 0.3938 0.0006 0.6037 1
Tl11 Tl 0.6792 0.6792 0.2813 1
Tl12 Tl 0.6808 0.3248 0.2892 1
Tl13 Tl 0.6841 0.0814 0.9663 1
Tl14 Tl 0.6852 0.3613 0.6839 1
Tl15 Tl 0.6978 0.6978 0.9219 1
Tl16 Tl 0.9726 0.2751 0.8873 1
Cd1 Cd 0.0405 0.8614 0.2736 1
Cd2 Cd 0.0414 0.6736 0.4620 1
Cd3 Cd 0.3112 0.3112 0.1060 1
Cd4 Cd 0.3250 0.5123 0.9309 1
Cd5 Cd 0.4912 0.8689 0.0972 1
Cd6 Cd 0.5048 0.5048 0.4700 1
Cd7 Cd 0.5123 0.3250 0.9309 1
Cd8 Cd 0.6736 0.0414 0.4620 1
Cd9 Cd 0.6917 0.8747 0.6588 1
Cd10 Cd 0.8614 0.0405 0.2736 1
Cd11 Cd 0.8689 0.4912 0.0972 1
Cd12 Cd 0.8747 0.6917 0.6588 1
# Formation enthalpy at 0 K: 7 meV/atom
# Density: 9.660 Mg/m³

[2]
# Li2TlCd, relaxed, DFT GGA-PBE
data_Li2TlCd
_cell_length_a 4.7990
_cell_length_b 4.7990
_cell_length_c 4.7990
_cell_angle_alpha 60.00
_cell_angle_beta 60.00
_cell_angle_gamma 60.00
_symmetry_space_group_name_H-M 'P 1'
_symmetry_Int_Tables_number 1
_symmetry_space_group_name_Hall 'P 1'
loop_
_atom_site_label
_atom_site_type_symbol
_atom_site_fract_x
_atom_site_fract_y
_atom_site_fract_z
_atom_site_occupancy
Li1 Li 0.2500 0.2500 0.2500 1
Li2 Li 0.7500 0.7500 0.7500 1
Tl1 Tl 0.0000 0.0000 0.0000 1
Cd1 Cd 0.5000 0.5000 0.5000 1
# Formation enthalpy at 0 K: -248 meV/atom
# Density: 7.026 Mg/m³

[3]
# Li12Tl5Cd2, relaxed, DFT GGA-PBE
data_Li12Tl5Cd2
_cell_length_a 8.1695
_cell_length_b 8.1695
_cell_length_c 7.3865
_cell_angle_alpha 95.22
_cell_angle_beta 95.22
_cell_angle_gamma 50.20
_symmetry_space_group_name_H-M 'P 1'
_symmetry_Int_Tables_number 1
_symmetry_space_group_name_Hall 'P 1'
loop_
_atom_site_label
_atom_site_type_symbol
_atom_site_fract_x
_atom_site_fract_y
_atom_site_fract_z
_atom_site_occupancy
Li1 Li 0.0451 0.0451 0.2009 1
Li2 Li 0.1096 0.5396 0.7267 1
Li3 Li 0.1243 0.6574 0.1417 1
Li4 Li 0.3315 0.3315 0.3966 1
Li5 Li 0.3426 0.8757 0.8583 1
Li6 Li 0.4604 0.8904 0.2733 1
Li7 Li 0.5396 0.1096 0.7267 1
Li8 Li 0.6574 0.1243 0.1417 1
Li9 Li 0.6685 0.6685 0.6034 1
Li10 Li 0.8757 0.3426 0.8583 1
Li11 Li 0.8904 0.4604 0.2733 1
Li12 Li 0.9549 0.9549 0.7991 1
Tl1 Tl 0.1623 0.1623 0.5659 1
Tl2 Tl 0.2466 0.2466 0.0242 1
Tl3 Tl 0.5000 0.5000 0.0000 1
Tl4 Tl 0.7534 0.7534 0.9758 1
Tl5 Tl 0.8377 0.8377 0.4341 1
Cd1 Cd 0.2853 0.7147 0.5000 1
Cd2 Cd 0.7147 0.2853 0.5000 1
# Formation enthalpy at 0 K: -175 meV/atom
# Density: 5.861 Mg/m³

[4]
# Li2TlCd5, relaxed, DFT GGA-PBE
data_Li2TlCd5
_cell_length_a 6.4693
_cell_length_b 12.9079
_cell_length_c 4.1540
_cell_angle_alpha 90.00
_cell_angle_beta 90.00
_cell_angle_gamma 90.00
_symmetry_space_group_name_H-M 'P 1'
_symmetry_Int_Tables_number 1
_symmetry_space_group_name_Hall 'P 1'
loop_
_atom_site_label
_atom_site_type_symbol
_atom_site_fract_x
_atom_site_fract_y
_atom_site_fract_z
_atom_site_occupancy
Li1 Li 0.2437 0.1241 0.0000 1
Li2 Li 0.2563 0.6241 0.0000 1
Li3 Li 0.7437 0.3759 0.0000 1
Li4 Li 0.7563 0.8759 0.0000 1
Tl1 Tl 0.0000 0.0000 0.5000 1
Tl2 Tl 0.5000 0.5000 0.5000 1
Cd1 Cd 0.0000 0.5000 0.5000 1
Cd2 Cd 0.0166 0.7460 0.5000 1
Cd3 Cd 0.2331 0.3692 0.0000 1
Cd4 Cd 0.2669 0.8692 0.0000 1
Cd5 Cd 0.4834 0.2460 0.5000 1
Cd6 Cd 0.5000 0.0000 0.5000 1
Cd7 Cd 0.5166 0.7540 0.5000 1
Cd8 Cd 0.7331 0.1308 0.0000 1
Cd9 Cd 0.7669 0.6308 0.0000 1
Cd10 Cd 0.9834 0.2540 0.5000 1
# Formation enthalpy at 0 K: -132 meV/atom
# Density: 7.471 Mg/m³

[5]
# Li2TlCd, relaxed, DFT GGA-PBE
data_Li2TlCd
_cell_length_a 5.3620
_cell_length_b 5.3620
_cell_length_c 4.6843
_cell_angle_alpha 114.89
_cell_angle_beta 114.89
_cell_angle_gamma 42.65
_symmetry_space_group_name_H-M 'P 1'
_symmetry_Int_Tables_number 1
_symmetry_space_group_name_Hall 'P 1'
loop_
_atom_site_label
_atom_site_type_symbol
_atom_site_fract_x
_atom_site_fract_y
_atom_site_fract_z
_atom_site_occupancy
Li1 Li 0.0000 0.0000 0.0000 1
Li2 Li 0.7473 0.7473 0.2513 1
Tl1 Tl 0.4935 0.4935 0.4924 1
Cd1 Cd 0.2570 0.2570 0.7617 1
# Formation enthalpy at 0 K: -207 meV/atom
# Density: 6.746 Mg/m³

[6]
# Li5TlCd4, relaxed, DFT GGA-PBE
data_Li5TlCd4
_cell_length_a 3.3841
_cell_length_b 3.3841
_cell_length_c 16.4909
_cell_angle_alpha 90.00
_cell_angle_beta 90.00
_cell_angle_gamma 90.00
_symmetry_space_group_name_H-M 'P 1'
_symmetry_Int_Tables_number 1
_symmetry_space_group_name_Hall 'P 1'
loop_
_atom_site_label
_atom_site_type_symbol
_atom_site_fract_x
_atom_site_fract_y
_atom_site_fract_z
_atom_site_occupancy
Li1 Li 0.0000 0.0000 0.0000 1
Li2 Li 0.0000 0.0000 0.1930 1
Li3 Li 0.0000 0.0000 0.3893 1
Li4 Li 0.0000 0.0000 0.6107 1
Li5 Li 0.0000 0.0000 0.8070 1
Tl1 Tl 0.5000 0.5000 0.5000 1
Cd1 Cd 0.5000 0.5000 0.0962 1
Cd2 Cd 0.5000 0.5000 0.2891 1
Cd3 Cd 0.5000 0.5000 0.7109 1
Cd4 Cd 0.5000 0.5000 0.9038 1
# Formation enthalpy at 0 K: -251 meV/atom
# Density: 6.056 Mg/m³